1.
DFT (GGA-PBE) results for a geometry-optimized PRh2W structure.

## Properties
As for the space-group type: I-4m2 (119). The calculation puts the energy at -8.278 eV per atom.

POSCAR file:
```
PRh2W
1.0
-1.986 1.986 3.579
1.986 -1.986 3.579
1.986 1.986 -3.579
P Rh W
1 2 1
direct
0.000 0.000 0.000 P
0.250 0.750 0.500 Rh
0.500 0.500 0.000 Rh
0.750 0.250 0.500 W
```


2.
DFT (GGA-PBE) results for a geometry-optimized Ba3In2Hg4As2 structure.

## Properties
As for the space-group type: I4/mmm (139). The calculation puts the energy at -2.428 eV per atom.

POSCAR file:
```
Ba3In2Hg4As2
1.0
-2.374 2.374 17.903
2.374 -2.374 17.903
2.374 2.374 -17.903
Ba In Hg As
3 2 4 2
direct
0.000 0.000 0.000 Ba
0.203 0.203 0.000 Ba
0.797 0.797 0.000 Ba
0.368 0.368 0.000 In
0.632 0.632 0.000 In
0.074 0.574 0.500 Hg
0.426 0.926 0.500 Hg
0.574 0.074 0.500 Hg
0.926 0.426 0.500 Hg
0.296 0.296 0.000 As
0.704 0.704 0.000 As
```